(1)
Here is crystalline Na2TiCdO4 at its relaxed geometry from the Alexandria database. Energies are from GGA-PBE.

## Properties
The calculation puts the density of states at the Fermi level at 0.0 states/eV/f.u. The uncorrected formation energy comes out at -2.067 eV per atom. The calculation puts the final energy at -5.977 eV/atom.

Structure (CIF):
```
data_Na2TiCdO4
_chemical_formula_sum 'Na4 Ti2 Cd2 O8'
_cell_length_a 5.1610
_cell_length_b 5.1610
_cell_length_c 9.3774
_cell_angle_alpha 90.00
_cell_angle_beta 90.00
_cell_angle_gamma 90.00
_space_group_name_H-M_alt 'I -4'
_space_group_IT_number 82
_space_group_name_Hall 'I -4'
loop_
_atom_site_label
_atom_site_fract_x
_atom_site_fract_y
_atom_site_fract_z
_atom_site_occupancy
Na1 0.0000 0.0000 0.0000 1
Na2 0.0000 0.5000 0.2500 1
Ti1 0.0000 0.5000 0.7500 1
Cd1 0.0000 0.0000 0.5000 1
O1 0.1992 0.7171 0.6390 1
```

=====

(2)
Here is crystalline SrEuZnIr at its relaxed geometry from the Alexandria database. Energies are from GGA-PBE.

## Properties
The calculation puts the density of states at the Fermi level at 4.3 states/eV/f.u. As for the formation energy from the elements: -17.18 kJ per mole of atoms. The calculation puts the final energy at -5.701 eV/atom.

Structure (CIF):
```
data_SrEuZnIr
_chemical_formula_sum 'Sr4 Eu4 Zn4 Ir4'
_cell_length_a 7.2971
_cell_length_b 7.2971
_cell_length_c 7.2971
_cell_angle_alpha 90.00
_cell_angle_beta 90.00
_cell_angle_gamma 90.00
_space_group_name_H-M_alt 'F -4 3 m'
_space_group_IT_number 216
_space_group_name_Hall 'F -4 2 3'
loop_
_atom_site_label
_atom_site_fract_x
_atom_site_fract_y
_atom_site_fract_z
_atom_site_occupancy
Sr1 0.0000 0.0000 0.0000 1
Eu1 0.0000 0.0000 0.5000 1
Zn1 0.2500 0.2500 0.2500 1
Ir1 0.2500 0.2500 0.7500 1
```

=====

Question: The highest final energy belongs to which entry?
Answer: SrEuZnIr